Density functional theory data (PBE) for an optimized crystal structure of SrV2Pb.

Cell lengths 8.454, 8.454, 6.799 Å; angles 51.56, 51.56, 90.00 degrees
Fractional positions:
V (0.875, 0.932, 0.750)
Pb (0.750, 0.250, 0.500)
Pb (0.000, 0.000, 0.000)
Sr (0.250, 0.750, 0.500)
V (0.375, 0.318, 0.750)
Sr (0.500, 0.500, 0.000)
V (0.682, 0.125, 0.250)
V (0.068, 0.625, 0.250)

Output
**Energy**: -39.64 eV for the cell shown
**Calculated formation energy**: 0.951 eV per atom
**Total magnetic moment**: 14.8 μB/cell